Here is crystalline ZrMoIr2O at its relaxed geometry from Alexandria via LeMat-Bulk. Energies are from GGA+U.

Cell: 4.7898 4.7898 5.8406 Å, 90.00 90.00 90.00°
Positions (direct):
Zr1 0.0000 0.0000 0.0000
Mo1 0.0000 0.0000 0.5000
Ir1 0.0000 0.5000 0.0000
Ir2 0.5000 0.0000 0.0000
O1 0.5000 0.5000 0.5000

Properties
SG ... No. 123
Volume ... 26.8 A^3/atom
Mass density ... 7.3 g/cm3
Total moment ... 4.63 μB/f.u.
Energy ... -5.452 eV/atom